VASP calculation (GGA-PBE) on a relaxed InCoPd3 crystal.

Results
E_form   0.485 eV per atom
Size of the total moment   2.77 μB per formula unit
D(E_F)   1.03 states/eV/atom
Mass density   8384 kg/m3

Unit cell a=4.605 b=4.605 c=4.605 alpha=90.00 beta=90.00 gamma=90.00
Element x y z (fractional)
Co1 0.000 0.000 0.000
Pd1 0.000 0.500 0.000
Pd2 0.000 0.000 0.500
Pd3 0.500 0.000 0.000
In1 0.500 0.500 0.500